Entry 1:
Computed, not measured: PRh2C after structural relaxation at the GGA-PBE level of DFT.

```
data_PRh2C
_chemical_formula_sum 'P4 Rh8 C4'
_space_group_name_H-M_alt 'F m -3 m'
_space_group_IT_number 225
_space_group_name_Hall '-F 4 2 3'
_cell_length_a 5.7362
_cell_length_b 5.7362
_cell_length_c 5.7362
_cell_angle_alpha 90.00
_cell_angle_beta 90.00
_cell_angle_gamma 90.00
loop_
_atom_site_label
_atom_site_type_symbol
_atom_site_fract_x
_atom_site_fract_y
_atom_site_fract_z
_atom_site_occupancy
P1 P 0.0000 0.0000 0.0000 1
Rh1 Rh 0.2500 0.2500 0.2500 1
C1 C 0.0000 0.0000 0.5000 1
```

Results
magnetic moment = 0.145 μB per atom
energy above the lowest structure with this stoichiometry = 0.666 eV/atom
raw total energy = -6.622 eV per atom
ΔE_f = 2.85 eV per formula unit

---

Entry 2:
Computed, not measured: Te2PdI after structural relaxation at the GGA-PBE level of DFT.

```
data_Te2PdI
_chemical_formula_sum 'Te8 Pd4 I4'
_space_group_name_H-M_alt 'C 1 2/c 1'
_space_group_IT_number 15
_space_group_name_Hall '-C 2yc'
_cell_length_a 4.6029
_cell_length_b 16.3361
_cell_length_c 7.6984
_cell_angle_alpha 90.00
_cell_angle_beta 104.58
_cell_angle_gamma 90.00
loop_
_atom_site_label
_atom_site_type_symbol
_atom_site_fract_x
_atom_site_fract_y
_atom_site_fract_z
_atom_site_occupancy
Te1 Te 0.1774 0.1629 0.1237 1
Pd1 Pd 0.0000 0.2042 0.7500 1
I1 I 0.0000 0.4015 0.2500 1
```

Results
E_form (uncorrected) = -0.10 eV/atom
magnetic moment = 0.000 μB per atom
raw total energy = -3.360 eV per atom

---

Entry 3:
Computed, not measured: Y3Sn after structural relaxation at the GGA-PBE level of DFT.

```
data_Y3Sn
_chemical_formula_sum 'Y12 Sn4'
_space_group_name_H-M_alt 'F m -3 m'
_space_group_IT_number 225
_space_group_name_Hall '-F 4 2 3'
_cell_length_a 7.6731
_cell_length_b 7.6731
_cell_length_c 7.6731
_cell_angle_alpha 90.00
_cell_angle_beta 90.00
_cell_angle_gamma 90.00
loop_
_atom_site_label
_atom_site_type_symbol
_atom_site_fract_x
_atom_site_fract_y
_atom_site_fract_z
_atom_site_occupancy
Y1 Y 0.0000 0.0000 0.0000 1
Y2 Y 0.2500 0.2500 0.2500 1
Sn1 Sn 0.0000 0.0000 0.5000 1
```

Results
magnetic moment = 0.237 μB per atom
raw total energy = -6.084 eV per atom
ΔE_f = -0.94 eV per formula unit

---

Entry 4:
Computed, not measured: Al2HgCl8 after structural relaxation at the GGA-PBE level of DFT.

```
data_Al2HgCl8
_chemical_formula_sum 'Al4 Hg2 Cl16'
_space_group_name_H-M_alt 'C 1 2/m 1'
_space_group_IT_number 12
_space_group_name_Hall '-C 2y'
_cell_length_a 12.9681
_cell_length_b 9.1367
_cell_length_c 6.2358
_cell_angle_alpha 90.00
_cell_angle_beta 95.95
_cell_angle_gamma 90.00
loop_
_atom_site_label
_atom_site_type_symbol
_atom_site_fract_x
_atom_site_fract_y
_atom_site_fract_z
_atom_site_occupancy
Al1 Al 0.1899 0.0000 0.1511 1
Hg1 Hg 0.0000 0.0000 0.5000 1
Cl1 Cl 0.1020 0.1865 0.2640 1
Cl2 Cl 0.1532 0.5000 0.7242 1
Cl3 Cl 0.1808 0.0000 0.8016 1
```

Results
E_form (uncorrected) = -1.26 eV/atom
magnetic moment = 0.000 μB per atom
energy above the lowest structure with this stoichiometry = 0.006 eV/atom
raw total energy = -3.312 eV per atom

---

Entry 5:
Computed, not measured: ThAlSi2 after structural relaxation at the GGA-PBE level of DFT.

```
data_ThAlSi2
_chemical_formula_sum 'Th3 Al3 Si6'
_space_group_name_H-M_alt 'R -3 m'
_space_group_IT_number 166
_space_group_name_Hall '-R 3 2"'
_cell_length_a 4.3144
_cell_length_b 4.3144
_cell_length_c 14.8098
_cell_angle_alpha 90.00
_cell_angle_beta 90.00
_cell_angle_gamma 120.00
loop_
_atom_site_label
_atom_site_type_symbol
_atom_site_fract_x
_atom_site_fract_y
_atom_site_fract_z
_atom_site_occupancy
Th1 Th 0.0000 0.0000 0.0000 1
Al1 Al 0.0000 0.0000 0.5000 1
Si1 Si 0.0000 0.0000 0.2107 1
```

Results
E_form (uncorrected) = -0.36 eV/atom
magnetic moment = 0.000 μB per atom
raw total energy = -5.862 eV per atom

---

Entry 6:
Computed, not measured: PrHo4Th2 after structural relaxation at the GGA-PBE level of DFT.

```
data_PrHo4Th2
_chemical_formula_sum 'Pr1 Ho4 Th2'
_space_group_name_H-M_alt 'P -1'
_space_group_IT_number 2
_space_group_name_Hall '-P 1'
_cell_length_a 3.5096
_cell_length_b 8.7747
_cell_length_c 8.8188
_cell_angle_alpha 119.39
_cell_angle_beta 90.05
_cell_angle_gamma 101.48
loop_
_atom_site_label
_atom_site_type_symbol
_atom_site_fract_x
_atom_site_fract_y
_atom_site_fract_z
_atom_site_occupancy
Pr1 Pr 0.0000 0.0000 0.0000 1
Ho1 Ho 0.2938 0.5861 0.7046 1
Ho2 Ho 0.3514 0.7041 0.1548 1
Th1 Th 0.0681 0.1377 0.4359 1
```

Results
magnetic moment = 0.000 μB per atom
energy above the lowest structure with this stoichiometry = 0.000 eV/atom
raw total energy = -5.325 eV per atom
ΔE_f = 0.66 eV per formula unit

---

Entry 7:
Computed, not measured: TiNbGa3 after structural relaxation at the GGA-PBE level of DFT.

```
data_TiNbGa3
_chemical_formula_sum 'Ti1 Nb1 Ga3'
_space_group_name_H-M_alt 'P m -3 m'
_space_group_IT_number 221
_space_group_name_Hall '-P 4 2 3'
_cell_length_a 4.8790
_cell_length_b 4.8790
_cell_length_c 4.8790
_cell_angle_alpha 90.00
_cell_angle_beta 90.00
_cell_angle_gamma 90.00
loop_
_atom_site_label
_atom_site_type_symbol
_atom_site_fract_x
_atom_site_fract_y
_atom_site_fract_z
_atom_site_occupancy
Ti1 Ti 0.0000 0.0000 0.0000 1
Nb1 Nb 0.5000 0.5000 0.5000 1
Ga1 Ga 0.0000 0.5000 0.5000 1
```

Results
magnetic moment = 0.000 μB per atom
energy above the lowest structure with this stoichiometry = 0.944 eV/atom
raw total energy = -4.691 eV per atom
ΔE_f = 3.59 eV per formula unit

---

Entry 8:
Computed, not measured: LiYGaIr after structural relaxation at the GGA-PBE level of DFT.

```
data_LiYGaIr
_chemical_formula_sum 'Li4 Y4 Ga4 Ir4'
_space_group_name_H-M_alt 'F -4 3 m'
_space_group_IT_number 216
_space_group_name_Hall 'F -4 2 3'
_cell_length_a 6.5473
_cell_length_b 6.5473
_cell_length_c 6.5473
_cell_angle_alpha 90.00
_cell_angle_beta 90.00
_cell_angle_gamma 90.00
loop_
_atom_site_label
_atom_site_type_symbol
_atom_site_fract_x
_atom_site_fract_y
_atom_site_fract_z
_atom_site_occupancy
Li1 Li 0.0000 0.0000 0.0000 1
Y1 Y 0.2500 0.2500 0.7500 1
Ga1 Ga 0.2500 0.2500 0.2500 1
Ir1 Ir 0.0000 0.0000 0.5000 1
```

Results
magnetic moment = 0.000 μB per atom
raw total energy = -5.606 eV per atom
ΔE_f = -2.16 eV per formula unit

---

Copy entry 2 word for word.
Computed, not measured: Te2PdI after structural relaxation at the GGA-PBE level of DFT.

```
data_Te2PdI
_chemical_formula_sum 'Te8 Pd4 I4'
_space_group_name_H-M_alt 'C 1 2/c 1'
_space_group_IT_number 15
_space_group_name_Hall '-C 2yc'
_cell_length_a 4.6029
_cell_length_b 16.3361
_cell_length_c 7.6984
_cell_angle_alpha 90.00
_cell_angle_beta 104.58
_cell_angle_gamma 90.00
loop_
_atom_site_label
_atom_site_type_symbol
_atom_site_fract_x
_atom_site_fract_y
_atom_site_fract_z
_atom_site_occupancy
Te1 Te 0.1774 0.1629 0.1237 1
Pd1 Pd 0.0000 0.2042 0.7500 1
I1 I 0.0000 0.4015 0.2500 1
```

Results
E_form (uncorrected) = -0.10 eV/atom
magnetic moment = 0.000 μB per atom
raw total energy = -3.360 eV per atom